TcGeSCl2 | PBE-GGA | relaxed

**Distance to the lowest polymorph of the same formula**: 0 meV/atom
**Space-group type**: No. 123
**Energy relative to the elements, uncorrected**: 0.177 eV/atom
**Uncorrected energy**: -21.9 eV per cell
**Magnetization**: 1.312 μB per cell

Unit cell a=4.903 b=4.903 c=4.521 alpha=90.00 beta=90.00 gamma=90.00
Positions (direct):
Cl 0.500 0.000 0.000
Cl 0.000 0.500 0.000
S 0.000 0.000 0.500
Tc 0.000 0.000 0.000
Ge 0.500 0.500 0.500